Record 1
DFT (PBE) results for a relaxed structure of ReOs2Cl.

Properties
- density (Mg/m³) = 12.2
- total moment (μB/cell) = 0.000
- E above lowest polymorph (meV/atom) = 800
- crystal system = tetragonal
- uncorrected energy (eV per atom) = -7.85
- formation energy (no corrections) (meV per atom) = 1338.5

a b c (Å): 6.284 6.284 6.284
angles (deg): 123.97 123.97 83.25
Atoms (fractional coordinates):
1 Re 0.000 0.000 0.000
2 Re 0.750 0.250 0.500
3 Os 0.126 0.625 0.001
4 Os 0.375 0.376 0.501
5 Os 0.624 0.125 0.999
6 Os 0.875 0.874 0.499
7 Cl 0.250 0.750 0.500
8 Cl 0.500 0.500 0.000

Record 2
DFT (PBE) results for a relaxed structure of ReOsCl.

Properties
- density (Mg/m³) = 13.9
- total moment (μB/cell) = 0.000
- E above lowest polymorph (meV/atom) = 123
- crystal system = tetragonal
- uncorrected energy (eV per atom) = -7.93
- formation energy (no corrections) (meV per atom) = 579.3

a b c (Å): 6.135 6.135 6.135
angles (deg): 152.46 152.46 39.34
Atoms (fractional coordinates):
1 Re 0.000 0.000 0.000
2 Os 0.370 0.370 0.000
3 Cl 0.666 0.666 0.000

Record 3
DFT (PBE) results for a relaxed structure of ReOs2Cl.

Properties
- density (Mg/m³) = 14.2
- total moment (μB/cell) = 0.000
- E above lowest polymorph (meV/atom) = 145
- crystal system = orthorhombic
- uncorrected energy (eV per atom) = -8.50
- formation energy (no corrections) (meV per atom) = 683.7

a b c (Å): 2.802 3.705 6.799
angles (deg): 90.00 90.00 90.00
Atoms (fractional coordinates):
1 Re 0.000 0.000 0.000
2 Os 0.000 0.000 0.626
3 Os 0.500 0.500 0.790
4 Cl 0.000 0.500 0.251

Record 4
DFT (PBE) results for a relaxed structure of ReOs2Cl.

Properties
- density (Mg/m³) = 15.8
- total moment (μB/cell) = 0.013
- E above lowest polymorph (meV/atom) = 353
- crystal system = orthorhombic
- uncorrected energy (eV per atom) = -8.30
- formation energy (no corrections) (meV per atom) = 891.4

a b c (Å): 2.814 2.814 9.356
angles (deg): 90.00 90.00 121.31
Atoms (fractional coordinates):
1 Re 0.000 0.000 0.000
2 Os 0.000 0.000 0.519
3 Os 0.500 0.500 0.753
4 Cl 0.500 0.500 0.224

Record 5
DFT (PBE) results for a relaxed structure of ReOs2Cl.

Properties
- density (Mg/m³) = 16.1
- total moment (μB/cell) = 0.000
- E above lowest polymorph (meV/atom) = 309
- crystal system = orthorhombic
- uncorrected energy (eV per atom) = -8.34
- formation energy (no corrections) (meV per atom) = 847.4

a b c (Å): 2.810 2.810 9.120
angles (deg): 90.00 90.00 120.57
Atoms (fractional coordinates):
1 Re 0.000 0.000 0.000
2 Os 0.500 0.500 0.244
3 Os 0.500 0.500 0.756
4 Cl 0.000 0.000 0.500

Record 6
DFT (PBE) results for a relaxed structure of Re2OsCl.

Properties
- density (Mg/m³) = 16.4
- total moment (μB/cell) = 0.000
- E above lowest polymorph (meV/atom) = 699
- crystal system = tetragonal
- uncorrected energy (eV per atom) = -8.33
- formation energy (no corrections) (meV per atom) = 1159.4

a b c (Å): 4.409 4.409 4.409
angles (deg): 119.95 119.95 90.09
Atoms (fractional coordinates):
1 Re 0.000 0.000 0.000
2 Re 0.750 0.250 0.500
3 Os 0.250 0.750 0.500
4 Cl 0.500 0.500 0.000

Record 7
DFT (PBE) results for a relaxed structure of Re2OsSe4Cl2.

Properties
- density (Mg/m³) = 6.7
- total moment (μB/cell) = 0.000
- crystal system = triclinic
- uncorrected energy (eV per atom) = -6.47
- formation energy (no corrections) (meV per atom) = -498.2

a b c (Å): 9.426 9.448 12.192
angles (deg): 85.97 89.29 60.51
Atoms (fractional coordinates):
1 Re 0.093 0.330 0.408
2 Re 0.150 0.369 0.611
3 Re 0.326 0.999 0.929
4 Re 0.384 0.043 0.130
5 Re 0.616 0.957 0.870
6 Re 0.674 0.001 0.071
7 Re 0.850 0.631 0.389
8 Re 0.907 0.670 0.592
9 Os 0.146 0.573 0.448
10 Os 0.406 0.228 0.964
11 Os 0.594 0.772 0.036
12 Os 0.854 0.427 0.552
13 Se 0.082 0.532 0.256
14 Se 0.093 0.142 0.567
15 Se 0.136 0.256 0.023
16 Se 0.194 0.606 0.645
17 Se 0.316 0.822 0.091
18 Se 0.353 0.178 0.772
19 Se 0.371 0.281 0.469
20 Se 0.466 0.257 0.158
21 Se 0.534 0.743 0.842
22 Se 0.629 0.719 0.531
23 Se 0.647 0.822 0.228
24 Se 0.684 0.178 0.909
25 Se 0.806 0.394 0.355
26 Se 0.864 0.744 0.977
27 Se 0.907 0.858 0.433
28 Se 0.918 0.468 0.744
29 Cl 0.106 0.996 0.838
30 Cl 0.219 0.087 0.298
31 Cl 0.290 0.512 0.920
32 Cl 0.328 0.663 0.384
33 Cl 0.672 0.337 0.616
34 Cl 0.710 0.488 0.080
35 Cl 0.781 0.913 0.702
36 Cl 0.894 0.004 0.162

Record 8
DFT (PBE) results for a relaxed structure of ReSnOsCl2.

Properties
- density (Mg/m³) = 6.5
- total moment (μB/cell) = 7.514
- crystal system = tetragonal
- uncorrected energy (eV per atom) = -4.22
- formation energy (no corrections) (meV per atom) = 2053.8

a b c (Å): 5.057 5.057 5.654
angles (deg): 90.00 90.00 90.00
Atoms (fractional coordinates):
1 Re 0.000 0.000 0.000
2 Sn 0.000 0.000 0.500
3 Os 0.500 0.500 0.000
4 Cl 0.000 0.500 0.500
5 Cl 0.500 0.000 0.500

Record 9
DFT (PBE) results for a relaxed structure of ZnReOsCl2.

Properties
- density (Mg/m³) = 7.7
- total moment (μB/cell) = 3.464
- crystal system = tetragonal
- uncorrected energy (eV per atom) = -4.12
- formation energy (no corrections) (meV per atom) = 1610.9

a b c (Å): 4.497 4.497 5.500
angles (deg): 90.00 90.00 90.00
Atoms (fractional coordinates):
1 Zn 0.000 0.000 0.000
2 Re 0.000 0.000 0.500
3 Os 0.500 0.500 0.000
4 Cl 0.000 0.500 0.500
5 Cl 0.500 0.000 0.500

Record 10
DFT (PBE) results for a relaxed structure of Zr2ReOsCl.

Properties
- density (Mg/m³) = 8.7
- total moment (μB/cell) = 0.927
- crystal system = tetragonal
- uncorrected energy (eV per atom) = -7.23
- formation energy (no corrections) (meV per atom) = 1294.5

a b c (Å): 5.109 5.109 4.368
angles (deg): 90.00 90.00 90.00
Atoms (fractional coordinates):
1 Zr 0.000 0.500 0.000
2 Zr 0.500 0.000 0.000
3 Re 0.000 0.000 0.500
4 Os 0.500 0.500 0.000
5 Cl 0.500 0.500 0.500

Record 11
DFT (PBE) results for a relaxed structure of OsRhCl2.

Properties
- density (Mg/m³) = 6.9
- total moment (μB/cell) = 0.000
- E above lowest polymorph (meV/atom) = 104
- crystal system = monoclinic
- uncorrected energy (eV per atom) = -5.34
- formation energy (no corrections) (meV per atom) = 228.0

a b c (Å): 3.671 3.671 8.274
angles (deg): 106.86 106.86 56.07
Atoms (fractional coordinates):
1 Os 0.000 0.000 0.000
2 Rh 0.762 0.762 0.166
3 Cl 0.392 0.392 0.792
4 Cl 0.543 0.543 0.367

Record 12
DFT (PBE) results for a relaxed structure of OsRhCl2.

Properties
- density (Mg/m³) = 9.5
- total moment (μB/cell) = 0.001
- E above lowest polymorph (meV/atom) = 657
- crystal system = orthorhombic
- uncorrected energy (eV per atom) = -4.79
- formation energy (no corrections) (meV per atom) = 780.5

a b c (Å): 3.021 3.021 8.344
angles (deg): 90.00 90.00 123.67
Atoms (fractional coordinates):
1 Os 0.000 0.000 0.000
2 Rh 0.000 0.000 0.500
3 Cl 0.500 0.500 0.239
4 Cl 0.500 0.500 0.761

Record 13
DFT (PBE) results for a relaxed structure of OsRhCl2.

Properties
- density (Mg/m³) = 10.0
- total moment (μB/cell) = 0.001
- E above lowest polymorph (meV/atom) = 1123
- crystal system = cubic
- uncorrected energy (eV per atom) = -4.32
- formation energy (no corrections) (meV per atom) = 1247.0

a b c (Å): 4.399 4.399 4.399
angles (deg): 60.00 60.00 60.00
Atoms (fractional coordinates):
1 Os 0.000 0.000 0.000
2 Rh 0.500 0.500 0.500
3 Cl 0.250 0.250 0.250
4 Cl 0.750 0.750 0.750

Record 14
DFT (PBE) results for a relaxed structure of OsRhCl2.

Properties
- density (Mg/m³) = 6.9
- total moment (μB/cell) = 1.201
- E above lowest polymorph (meV/atom) = 379
- crystal system = orthorhombic
- uncorrected energy (eV per atom) = -5.07
- formation energy (no corrections) (meV per atom) = 502.9

a b c (Å): 7.128 7.128 7.128
angles (deg): 156.57 142.26 44.90
Atoms (fractional coordinates):
1 Os 0.000 0.000 0.000
2 Rh 0.500 0.500 0.000
3 Cl 0.144 0.644 0.500
4 Cl 0.856 0.356 0.500

Record 15
DFT (PBE) results for a relaxed structure of OsRhCl2.

Properties
- density (Mg/m³) = 10.0
- total moment (μB/cell) = 0.002
- E above lowest polymorph (meV/atom) = 1116
- crystal system = tetragonal
- uncorrected energy (eV per atom) = -4.33
- formation energy (no corrections) (meV per atom) = 1240.0

a b c (Å): 4.366 4.366 3.164
angles (deg): 90.00 90.00 90.00
Atoms (fractional coordinates):
1 Os 0.000 0.000 0.000
2 Rh 0.500 0.500 0.000
3 Cl 0.000 0.500 0.500
4 Cl 0.500 0.000 0.500

Record 16
DFT (PBE) results for a relaxed structure of OsRh4Cl.

Properties
- density (Mg/m³) = 11.1
- total moment (μB/cell) = 1.483
- crystal system = cubic
- uncorrected energy (eV per atom) = -6.06
- formation energy (no corrections) (meV per atom) = 1016.8

a b c (Å): 5.129 5.129 5.129
angles (deg): 60.00 60.00 60.00
Atoms (fractional coordinates):
1 Os 0.000 0.000 0.000
2 Rh 0.125 0.625 0.625
3 Rh 0.625 0.125 0.625
4 Rh 0.625 0.625 0.125
5 Rh 0.625 0.625 0.625
6 Cl 0.250 0.250 0.250

Record 17
DFT (PBE) results for a relaxed structure of OsRhCl2.

Properties
- density (Mg/m³) = 9.3
- total moment (μB/cell) = 0.932
- E above lowest polymorph (meV/atom) = 520
- crystal system = trigonal
- uncorrected energy (eV per atom) = -4.92
- formation energy (no corrections) (meV per atom) = 643.7

a b c (Å): 8.753 8.753 8.753
angles (deg): 19.44 19.44 19.44
Atoms (fractional coordinates):
1 Os 0.000 0.000 0.000
2 Rh 0.500 0.500 0.500
3 Cl 0.087 0.087 0.087
4 Cl 0.913 0.913 0.913

Record 18
DFT (PBE) results for a relaxed structure of OsRhCl2.

Properties
- density (Mg/m³) = 9.0
- total moment (μB/cell) = 0.000
- E above lowest polymorph (meV/atom) = 761
- crystal system = tetragonal
- uncorrected energy (eV per atom) = -4.68
- formation energy (no corrections) (meV per atom) = 884.8

a b c (Å): 8.151 8.151 8.151
angles (deg): 150.00 150.00 42.94
Atoms (fractional coordinates):
1 Os 0.000 0.000 0.000
2 Os 0.750 0.250 0.500
3 Rh 0.250 0.750 0.500
4 Rh 0.500 0.500 0.000
5 Cl 0.112 0.625 0.987
6 Cl 0.375 0.362 0.487
7 Cl 0.638 0.125 0.013
8 Cl 0.875 0.888 0.513

Record 19
DFT (PBE) results for a relaxed structure of Os3RhCl.

Properties
- density (Mg/m³) = 10.7
- total moment (μB/cell) = 6.107
- E above lowest polymorph (meV/atom) = 758
- crystal system = cubic
- uncorrected energy (eV per atom) = -5.90
- formation energy (no corrections) (meV per atom) = 2676.2

a b c (Å): 4.795 4.795 4.795
angles (deg): 90.00 90.00 90.00
Atoms (fractional coordinates):
1 Os 0.000 0.000 0.500
2 Os 0.000 0.500 0.000
3 Os 0.500 0.000 0.000
4 Rh 0.000 0.000 0.000
5 Cl 0.500 0.500 0.500

Record 20
DFT (PBE) results for a relaxed structure of OsRhCl2.

Properties
- density (Mg/m³) = 8.4
- total moment (μB/cell) = 0.001
- E above lowest polymorph (meV/atom) = 356
- crystal system = orthorhombic
- uncorrected energy (eV per atom) = -5.09
- formation energy (no corrections) (meV per atom) = 479.4

a b c (Å): 3.004 3.004 9.583
angles (deg): 90.00 90.00 123.96
Atoms (fractional coordinates):
1 Os 0.000 0.000 0.000
2 Rh 0.500 0.500 0.232
3 Cl 0.000 0.000 0.441
4 Cl 0.500 0.500 0.798